# 1
Rb2TiCu | PBE | relaxed

Cell lengths 12.9489, 12.9489, 5.0055 Å; angles 90.00, 90.00, 90.00 degrees
With the nearest neighbours (Å) after each atom.
Space group I-42d (No. 122)
One atom of each set of equivalent atoms:
Rb 0.0841 0.2500 0.1250 [8 per cell]  2 Cu 3.47
Ti 0.0000 0.0000 0.5000 [4 per cell]  2 Cu 2.50
Cu 0.0000 0.0000 0.0000 [4 per cell]  2 Ti 2.50

Summary:
The value obtained for the excess energy over the best structure of this formula in the dataset is 0.000 eV/atom. For the energy of formation, the calculation gives 0.902 eV per atom.


# 2
PrNd2Pd | PBE | relaxed

Cell lengths 3.6975, 3.6975, 8.7725 Å; angles 90.00, 90.00, 90.00 degrees
With the nearest neighbours (Å) after each atom.
Space group P4/mmm (No. 123)
One atom of each set of equivalent atoms:
Pr 0.0000 0.0000 0.0000 [1 per cell]  4 Pr 3.70, 8 Nd 3.73
Nd 0.5000 0.5000 0.3037 [2 per cell]  4 Pd 3.13, 1 Nd 3.44
Pd 0.0000 0.0000 0.5000 [1 per cell]  8 Nd 3.13

Summary:
The value obtained for the excess energy over the best structure of this formula in the dataset is 0.075 eV/atom. For the energy of formation, the calculation gives -0.328 eV per atom.


# 3
SbAs2Pt | PBE | relaxed

Cell lengths 3.7258, 4.5155, 10.6741 Å; angles 90.00, 90.00, 90.00 degrees
With the nearest neighbours (Å) after each atom.
Space group Immm (No. 71)
One atom of each set of equivalent atoms:
Sb 0.0000 0.0000 0.0000 [2 per cell]  4 As 2.90, 4 Pt 2.93
As 0.0000 0.5000 0.1702 [4 per cell]  2 Pt 2.60, 2 Sb 2.90
Pt 0.0000 0.0000 0.5000 [2 per cell]  4 As 2.60

Summary:
The calculation puts the uncorrected formation energy at 0.065 eV/atom.


# 4
Ag2PO | PBE | relaxed

Cell lengths 6.1638, 6.1638, 6.1638 Å; angles 90.00, 90.00, 90.00 degrees
With the nearest neighbours (Å) after each atom.
Space group Fm-3m (No. 225)
One atom of each set of equivalent atoms:
Ag 0.2500 0.2500 0.2500 [8 per cell]  4 O 2.67, 4 P 2.67
P 0.0000 0.0000 0.0000 [4 per cell]  8 Ag 2.67
O 0.0000 0.0000 0.5000 [4 per cell]  8 Ag 2.67

Summary:
The value obtained for the excess energy over the best structure of this formula in the dataset is 0.167 eV/atom. The calculation puts the uncorrected formation energy at 0.435 eV/atom.


# 5
LaHf2Ag2 | PBE | relaxed

Cell lengths 8.6230, 8.6230, 3.0343 Å; angles 90.00, 90.00, 90.00 degrees
With the nearest neighbours (Å) after each atom.
Space group P4/mbm (No. 127)
One atom of each set of equivalent atoms:
La 0.0000 0.0000 0.0000 [2 per cell]  2 La 3.03, 4 Hf 3.38
Hf 0.1300 0.3700 0.0000 [4 per cell]  6 Ag 2.91-2.99, 3 Hf 3.03-3.17
Ag 0.1665 0.6665 0.5000 [4 per cell]  6 Hf 2.91-2.99, 2 Ag 3.03

Summary:
The value obtained for the excess energy over the best structure of this formula in the dataset is 0.000 eV/atom. For the energy of formation, the calculation gives 0.135 eV per atom.


# 6
CdSnHgAu | PBE | relaxed

Cell lengths 7.1512, 7.1512, 7.1512 Å; angles 90.00, 90.00, 90.00 degrees
With the nearest neighbours (Å) after each atom.
Space group F-43m (No. 216)
One atom of each set of equivalent atoms:
Cd 0.0000 0.0000 0.0000 [4 per cell]  4 Hg 3.10, 4 Au 3.10
Sn 0.0000 0.0000 0.5000 [4 per cell]  4 Hg 3.10, 4 Au 3.10
Hg 0.2500 0.2500 0.7500 [4 per cell]  4 Cd 3.10, 4 Sn 3.10
Au 0.2500 0.2500 0.2500 [4 per cell]  4 Cd 3.10, 4 Sn 3.10

Summary:
For the energy of formation, the calculation gives 0.012 eV per atom.


| no. | DFT total energy (eV/atom) |
| --- | --- |
| 1 | -2.580 |
| 2 | -5.205 |
| 3 | -4.801 |
| 4 | -3.583 |
| 5 | -5.972 |
| 6 | -2.113 |